(1)
Here is a relaxed Mg3WN4 crystal from the Alexandria database. Energies are from PBE.

Lattice parameters (Å, degrees): 5.301 5.867 6.785 90.00 90.00 90.00
Atoms (fractional coordinates):
Mg (0.511, 0.838, 0.000)
Mg (0.010, 0.669, 0.248)
Mg (0.510, 0.331, 0.252)
Mg (0.011, 0.162, 0.500)
Mg (0.510, 0.331, 0.748)
Mg (0.010, 0.669, 0.752)
W (0.003, 0.171, 0.000)
W (0.503, 0.829, 0.500)
N (0.110, 0.864, 0.000)
N (0.650, 0.173, 0.000)
N (0.111, 0.323, 0.231)
N (0.611, 0.677, 0.269)
N (0.150, 0.827, 0.500)
N (0.610, 0.136, 0.500)
N (0.611, 0.677, 0.731)
N (0.111, 0.323, 0.769)

The uncorrected formation energy comes out at -0.894 eV per atom. The magnetization comes out at 0.0000 μB/atom.

(2)
Here is a relaxed AsPbCBr2 crystal from the Alexandria database. Energies are from PBE.

Lattice parameters (Å, degrees): 4.902 4.902 4.567 90.00 90.00 90.00
Atoms (fractional coordinates):
Pb (0.500, 0.500, 0.500)
As (0.000, 0.000, 0.500)
C (0.000, 0.000, 0.000)
Br (0.000, 0.500, 0.000)
Br (0.500, 0.000, 0.000)

The uncorrected formation energy comes out at 0.865 eV per atom. The magnetization comes out at 0.0000 μB/atom. As for the excess energy over the best structure of this formula in the dataset: 0.000 eV/atom.

(3)
Here is a relaxed Ce2ErPdRh5 crystal from the Alexandria database. Energies are from PBE.

Lattice parameters (Å, degrees): 8.060 8.060 7.911 120.63 120.63 90.00
Atoms (fractional coordinates):
Ce (0.138, 0.362, 0.000)
Ce (0.638, 0.138, 0.000)
Ce (0.362, 0.862, 0.000)
Ce (0.862, 0.638, 0.000)
Er (0.250, 0.250, 0.500)
Er (0.750, 0.750, 0.500)
Pd (0.250, 0.750, 0.500)
Pd (0.750, 0.250, 0.500)
Rh (0.935, 0.435, 0.274)
Rh (0.662, 0.162, 0.726)
Rh (0.065, 0.565, 0.726)
Rh (0.162, 0.065, 0.726)
Rh (0.565, 0.662, 0.726)
Rh (0.838, 0.935, 0.274)
Rh (0.435, 0.338, 0.274)
Rh (0.338, 0.838, 0.274)
Rh (0.500, 0.500, 0.000)
Rh (0.000, 0.000, 0.000)

Its calculated formation energy is -0.400 eV/atom. The magnetization comes out at 0.0000 μB/atom.

(4)
Here is a relaxed K2CdIn2 crystal from the Alexandria database. Energies are from PBE.

Lattice parameters (Å, degrees): 7.807 7.807 5.927 90.00 90.00 90.00
Atoms (fractional coordinates):
K (0.178, 0.678, 0.500)
K (0.678, 0.822, 0.500)
K (0.822, 0.322, 0.500)
K (0.322, 0.178, 0.500)
Cd (0.000, 0.000, 0.000)
Cd (0.500, 0.500, 0.000)
In (0.366, 0.866, 0.000)
In (0.866, 0.634, 0.000)
In (0.634, 0.134, 0.000)
In (0.134, 0.366, 0.000)

Its calculated formation energy is -0.036 eV/atom. The magnetization comes out at 0.0001 μB/atom. As for the excess energy over the best structure of this formula in the dataset: 0.070 eV/atom.

(5)
Here is a relaxed Nd4SmZn crystal from the Alexandria database. Energies are from PBE.

Lattice parameters (Å, degrees): 3.763 6.550 8.826 74.80 77.73 106.70
Atoms (fractional coordinates):
Nd (0.635, 0.965, 0.200)
Nd (0.368, 0.030, 0.797)
Nd (0.221, 0.577, 0.639)
Nd (0.783, 0.418, 0.356)
Sm (0.501, 0.497, 0.997)
Zn (0.001, 0.998, 0.499)

Its calculated formation energy is -0.077 eV/atom. The magnetization comes out at 0.0000 μB/atom. As for the excess energy over the best structure of this formula in the dataset: 0.018 eV/atom.

(6)
Here is a relaxed RbCaYF6 crystal from the Alexandria database. Energies are from PBE.

Lattice parameters (Å, degrees): 8.378 8.131 8.335 119.19 120.17 90.00
Last column: magnetic moment on the atom in μB.
Atoms (fractional coordinates):
Rb (0.803, 0.553, 0.605)  0.00
Rb (0.197, 0.447, 0.395)  0.00
Ca (0.500, 0.500, 0.000)  0.00
Ca (0.500, 0.000, 0.000)  0.00
Y (0.500, 0.000, 0.500)  0.00
Y (0.000, 0.000, 0.500)  0.00
F (0.425, 0.675, 0.849)  0.07
F (0.811, 0.061, 0.622)  0.00
F (0.823, 0.080, 0.266)  0.01
F (0.442, 0.686, 0.266)  0.01
F (0.442, 0.080, 0.266)  0.01
F (0.823, 0.686, 0.266)  0.01
F (0.575, 0.325, 0.151)  0.07
F (0.189, 0.939, 0.378)  0.00
F (0.177, 0.920, 0.734)  0.01
F (0.558, 0.314, 0.734)  0.01
F (0.558, 0.920, 0.734)  0.01
F (0.177, 0.314, 0.734)  0.01

The uncorrected formation energy comes out at -3.712 eV per atom. The magnetization comes out at 0.0111 μB/atom.

Please write out number 3 again, unchanged.
Here is a relaxed Ce2ErPdRh5 crystal from the Alexandria database. Energies are from PBE.

Lattice parameters (Å, degrees): 8.060 8.060 7.911 120.63 120.63 90.00
Atoms (fractional coordinates):
Ce (0.138, 0.362, 0.000)
Ce (0.638, 0.138, 0.000)
Ce (0.362, 0.862, 0.000)
Ce (0.862, 0.638, 0.000)
Er (0.250, 0.250, 0.500)
Er (0.750, 0.750, 0.500)
Pd (0.250, 0.750, 0.500)
Pd (0.750, 0.250, 0.500)
Rh (0.935, 0.435, 0.274)
Rh (0.662, 0.162, 0.726)
Rh (0.065, 0.565, 0.726)
Rh (0.162, 0.065, 0.726)
Rh (0.565, 0.662, 0.726)
Rh (0.838, 0.935, 0.274)
Rh (0.435, 0.338, 0.274)
Rh (0.338, 0.838, 0.274)
Rh (0.500, 0.500, 0.000)
Rh (0.000, 0.000, 0.000)

Its calculated formation energy is -0.400 eV/atom. The magnetization comes out at 0.0000 μB/atom.

- Which of these has the highest magnetization?
  RbCaYF6

- Among the records above, which one has the highest magnetization?
  RbCaYF6

- The highest magnetization belongs to which entry?
  RbCaYF6